No. 1
The following is a DFT calculation (PBE) of a relaxed Pm9Er2Th crystal.

Results
- E (eV/atom) = -4.9102
- DFT formation energy (meV per atom) = 31.5
- N(E_F) (states/eV/atom) = 1.6267
- crystal system = tetragonal
- V (Å³ per cell) = 402.5

Structure (extended XYZ):
```
12
Lattice="5.1195 0.0000 0.0000 0.0000 5.1195 0.0000 0.0000 0.0000 15.3558" Properties=species:S:1:pos:R:3 pbc="T T T"
Pm 2.5597 2.5597 0.0000
Pm 2.5597 2.5597 5.1564
Pm 2.5597 2.5597 10.1994
Pm 2.5597 0.0000 2.5403
Pm 2.5597 0.0000 7.6779
Pm 2.5597 0.0000 12.8155
Pm 0.0000 2.5597 2.5403
Pm 0.0000 2.5597 7.6779
Pm 0.0000 2.5597 12.8155
Er 0.0000 0.0000 5.1304
Er 0.0000 0.0000 10.2254
Th 0.0000 0.0000 0.0000
```

***

No. 2
The following is a DFT calculation (PBE) of a relaxed Sc3CuO crystal.

Results
- E (eV/atom) = -6.9127
- N(E_F) (states/eV/atom) = 0.7347
- crystal system = tetragonal
- V (Å³ per cell) = 163.2
- energy relative to the elements, uncorrected (meV per atom) = -1303

Structure (extended XYZ):
```
10
Lattice="-0.1287 3.1209 3.1704 -3.9725 -3.3359 3.1226 4.5661 -2.7396 2.8822" Properties=species:S:1:pos:R:3 pbc="T T T"
Sc -2.0506 -0.1075 3.1465
Sc 2.2187 0.1907 3.0263
Sc -1.3725 -3.1543 3.0493
Sc 0.1161 -1.1878 1.1739
Sc 1.9661 -2.9212 2.9554
Sc 0.4774 -4.8878 4.8308
Cu -0.0643 1.5605 1.5852
Cu 0.2324 -1.4773 4.5876
O -1.9863 -1.6680 1.5613
O 2.2830 -1.3698 1.4411
```

***

No. 3
The following is a DFT calculation (PBE) of a relaxed Fe2TcAs crystal.

Results
- energy relative to the lowest polymorph listed for this composition (meV per atom) = 131
- E (eV/atom) = -7.8146
- DFT formation energy (meV per atom) = 170.6
- N(E_F) (states/eV/atom) = 1.3496
- crystal system = tetragonal
- V (Å³ per cell) = 49.7

Structure (extended XYZ):
```
4
Lattice="4.5198 0.0721 0.0000 1.4812 4.2708 0.0000 -3.0005 -2.1714 2.5915" Properties=species:S:1:pos:R:3 pbc="T T T"
As 2.2599 0.0360 1.2957
Fe 0.0000 0.0000 0.0000
Fe 3.0005 2.1714 0.0000
Tc 0.7406 2.1354 1.2957
```

***

No. 4
The following is a DFT calculation (PBE) of a relaxed LiZnCr2 crystal.

Results
- energy relative to the lowest polymorph listed for this composition (meV per atom) = 135
- E (eV/atom) = -5.2986
- DFT formation energy (meV per atom) = 310.1
- N(E_F) (states/eV/atom) = 0.7617
- crystal system = monoclinic
- V (Å³ per cell) = 50.0

Structure (extended XYZ):
```
4
Lattice="4.3766 -0.0043 0.0034 3.7350 2.2813 0.0034 0.1203 0.0338 4.9952" Properties=species:S:1:pos:R:3 pbc="T T T"
Cr 8.1409 2.2852 4.8471
Cr 6.1943 1.7388 3.8816
Li 4.1640 1.1689 2.4416
Zn 2.0806 0.5840 1.3346
```

***

No. 5
The following is a DFT calculation (PBE) of a relaxed AlSb2Pd2 crystal.

Results
- energy relative to the lowest polymorph listed for this composition (meV per atom) = 157
- E (eV/atom) = -4.5507
- N(E_F) (states/eV/atom) = 0.4904
- crystal system = tetragonal
- V (Å³ per cell) = 207.3
- energy relative to the elements, uncorrected (meV per atom) = -76

Structure (extended XYZ):
```
10
Lattice="8.1528 0.0000 0.0000 0.0000 8.1528 0.0000 0.0000 0.0000 3.1182" Properties=species:S:1:pos:R:3 pbc="T T T"
Sb 2.7340 6.8104 0.0000
Sb 6.8104 5.4188 0.0000
Sb 5.4188 1.3424 0.0000
Sb 1.3424 2.7340 0.0000
Al 0.0000 0.0000 0.0000
Al 4.0764 4.0764 0.0000
Pd 1.0302 5.1066 1.5591
Pd 5.1066 7.1226 1.5591
Pd 7.1226 3.0462 1.5591
Pd 3.0462 1.0302 1.5591
```

***

No. 6
The following is a DFT calculation (PBE) of a relaxed LiCaHoOs crystal.

Results
- E (eV/atom) = -4.8990
- DFT formation energy (meV per atom) = 31.8
- N(E_F) (states/eV/atom) = 0.4048
- crystal system = cubic
- V (Å³ per cell) = 84.3

Structure (extended XYZ):
```
4
Lattice="-1.6593 4.6257 0.2730 -4.5940 1.0541 -1.4171 -3.3952 1.2026 3.3542" Properties=species:S:1:pos:R:3 pbc="T T T"
Ca -2.4121 1.7206 0.5525
Os 0.0000 0.0000 0.0000
Ho -7.2364 5.1618 1.6576
Li -4.8243 3.4412 1.1050
```

***

No. 7
The following is a DFT calculation (PBE) of a relaxed Th6PtC2Se3 crystal.

Results
- E (eV/atom) = -7.7465
- N(E_F) (states/eV/atom) = 0.6979
- crystal system = monoclinic
- V (Å³ per cell) = 291.9
- energy relative to the elements, uncorrected (meV per atom) = -1125

Structure (extended XYZ):
```
12
Lattice="3.9418 0.0000 0.0000 0.0000 8.4661 0.0783 -1.9709 -2.6657 8.7209" Properties=species:S:1:pos:R:3 pbc="T T T"
Th 0.0000 5.6093 5.8068
Th 1.9709 3.7870 3.1464
Th 1.9709 0.1911 2.9924
Th 0.0000 2.0239 0.3690
Th 1.9709 3.7765 8.4302
Th 0.0000 2.0134 5.6528
Pt 1.9709 0.0000 0.0000
C 1.9709 3.8674 5.7865
C 0.0000 1.9331 3.0127
Se 1.9709 4.2331 0.0392
Se 1.9709 -0.4105 5.9318
Se 0.0000 6.2110 2.8675
```

***

No. 8
The following is a DFT calculation (PBE) of a relaxed TaF crystal.

Results
- energy relative to the lowest polymorph listed for this composition (meV per atom) = 726
- E (eV/atom) = -7.7984
- N(E_F) (states/eV/atom) = 0.4359
- crystal system = hexagonal
- V (Å³ per cell) = 56.3
- energy relative to the elements, uncorrected (meV per atom) = -936

Structure (extended XYZ):
```
4
Lattice="-1.9810 1.5024 1.4124 1.2632 -2.2366 1.2564 5.6631 4.7950 2.8422" Properties=species:S:1:pos:R:3 pbc="T T T"
Ta 4.0539 2.2882 3.2517
Ta 0.1409 1.1371 1.8826
F 2.4373 0.9194 2.4404
F 4.1874 4.5633 3.9135
```

***

No. 9
The following is a DFT calculation (PBE) of a relaxed Tb3TmSn2C crystal.

Results
- E (eV/atom) = -5.7654
- DFT formation energy (meV per atom) = -680.8
- N(E_F) (states/eV/atom) = 0.1056
- crystal system = orthorhombic
- V (Å³ per cell) = 183.1

Structure (extended XYZ):
```
7
Lattice="4.7484 0.0000 0.0000 0.0000 4.8162 0.0000 -2.3742 -2.4081 8.0071" Properties=species:S:1:pos:R:3 pbc="T T T"
Tb 0.0000 2.4081 0.0000
Tb 0.0000 0.0000 2.5513
Tb 2.3742 2.4081 5.4558
Tm 2.3742 0.0000 0.0000
Sn 2.3742 2.4081 2.2347
Sn 0.0000 0.0000 5.7724
C 0.0000 0.0000 0.0000
```

***

No. 10
The following is a DFT calculation (PBE) of a relaxed Ca3NdSm2Se6 crystal.

Results
- E (eV/atom) = -5.3279
- N(E_F) (states/eV/atom) = 0.3794
- crystal system = monoclinic
- V (Å³ per cell) = 313.4
- energy relative to the elements, uncorrected (meV per atom) = -1901

Structure (extended XYZ):
```
12
Lattice="7.2149 0.0019 -0.0003 -3.6041 6.2502 -0.0003 -1.2050 -2.0864 6.9483" Properties=species:S:1:pos:R:3 pbc="T T T"
Ca -2.4112 4.1702 3.4738
Ca 4.8171 -0.0045 3.4738
Ca 1.2029 2.0828 3.4738
Nd 0.0000 0.0000 0.0000
Sm 0.0010 4.1682 -0.0003
Sm 3.6098 2.0839 -0.0003
Se 3.6183 2.0645 5.1829
Se 2.3963 4.1492 1.7639
Se -1.2124 2.1012 1.7648
Se -0.0200 4.1658 5.1829
Se 0.0095 0.0165 5.1838
Se 2.4259 -0.0001 1.7648
```

***

No. 11
The following is a DFT calculation (PBE) of a relaxed BaSrMg2Ni crystal.

Results
- energy relative to the lowest polymorph listed for this composition (meV per atom) = 36
- E (eV/atom) = -2.4779
- DFT formation energy (meV per atom) = 37.2
- N(E_F) (states/eV/atom) = 0.6266
- crystal system = tetragonal
- V (Å³ per cell) = 158.6

Structure (extended XYZ):
```
5
Lattice="5.3166 0.0000 0.0000 0.0000 5.3166 0.0000 0.0000 0.0000 5.6115" Properties=species:S:1:pos:R:3 pbc="T T T"
Sr 2.6583 2.6583 2.8057
Mg 0.0000 2.6583 0.0000
Mg 2.6583 0.0000 0.0000
Ba 0.0000 0.0000 2.8057
Ni 0.0000 0.0000 0.0000
```

***

No. 12
The following is a DFT calculation (PBE) of a relaxed YSb2Au crystal.

Results
- E (eV/atom) = -4.8332
- N(E_F) (states/eV/atom) = 0.8893
- crystal system = cubic
- V (Å³ per cell) = 101.0
- energy relative to the elements, uncorrected (meV per atom) = -337

Structure (extended XYZ):
```
4
Lattice="-0.2423 -2.9708 -4.2949 2.2722 -4.7079 -0.0535 -2.9413 -4.3219 -0.0263" Properties=species:S:1:pos:R:3 pbc="T T T"
Au -0.4557 -6.0003 -2.1874
Sb 0.0000 0.0000 0.0000
Sb -0.6835 -9.0004 -3.2810
Y -0.2278 -3.0001 -1.0937
```

***

No. 13
The following is a DFT calculation (PBE) of a relaxed Mn3TcGe crystal.

Results
- E (eV/atom) = -7.3093
- DFT formation energy (meV per atom) = 1189.2
- N(E_F) (states/eV/atom) = 1.4565
- crystal system = cubic
- V (Å³ per cell) = 98.9

Structure (extended XYZ):
```
5
Lattice="-1.8501 2.4103 3.4868 3.1074 -1.8163 2.9043 2.8829 3.5045 -0.8928" Properties=species:S:1:pos:R:3 pbc="T T T"
Ge 2.0701 2.0492 2.7491
Mn 1.5537 -0.9081 1.4522
Mn 1.4415 1.7522 -0.4464
Mn -0.9250 1.2051 1.7434
Tc 0.0000 0.0000 0.0000
```

***

No. 14
The following is a DFT calculation (PBE) of a relaxed K3OsO crystal.

Results
- energy relative to the lowest polymorph listed for this composition (meV per atom) = 0
- E (eV/atom) = -3.3782
- N(E_F) (states/eV/atom) = 0.0000
- crystal system = cubic
- V (Å³ per cell) = 153.8
- energy relative to the elements, uncorrected (meV per atom) = 518

Structure (extended XYZ):
```
5
Lattice="5.3583 0.0000 0.0000 0.0000 5.3583 0.0000 0.0000 0.0000 5.3583" Properties=species:S:1:pos:R:3 pbc="T T T"
K 0.0000 2.6791 0.0000
K 0.0000 0.0000 2.6791
K 2.6791 0.0000 0.0000
Os 2.6791 2.6791 2.6791
O 0.0000 0.0000 0.0000
```

***

No. 15
The following is a DFT calculation (PBE) of a relaxed AsHRh2 crystal.

Results
- energy relative to the lowest polymorph listed for this composition (meV per atom) = 172
- E (eV/atom) = -5.6444
- N(E_F) (states/eV/atom) = 0.5021
- crystal system = trigonal
- V (Å³ per cell) = 68.3

Structure (extended XYZ):
```
4
Lattice="4.1111 0.0000 0.0000 2.0556 3.5603 0.0000 2.0556 1.1868 4.6683" Properties=species:S:1:pos:R:3 pbc="T T T"
H 0.0000 0.0000 0.0000
As 4.1111 2.3736 2.3342
Rh 2.0556 1.1868 2.9971
Rh 6.1667 3.5603 1.6712
```

***

No. 16
The following is a DFT calculation (PBE) of a relaxed Nd2DySn2 crystal.

Results
- energy relative to the lowest polymorph listed for this composition (meV per atom) = 78
- E (eV/atom) = -5.0625
- DFT formation energy (meV per atom) = -633.8
- N(E_F) (states/eV/atom) = 0.7457
- crystal system = orthorhombic
- V (Å³ per cell) = 310.1

Structure (extended XYZ):
```
10
Lattice="5.0962 0.0000 0.0000 0.0000 6.5797 0.0000 -2.5481 0.0000 9.2490" Properties=species:S:1:pos:R:3 pbc="T T T"
Nd 2.5481 4.7843 9.2467
Nd 2.5481 3.1346 5.6678
Nd 0.0000 6.4244 3.5812
Nd 0.0000 1.4944 0.0024
Dy 0.0000 6.4310 7.3541
Dy 2.5481 3.1412 1.8950
Sn 0.0000 3.1393 7.8428
Sn 2.5481 6.4237 5.7670
Sn 0.0000 3.1339 3.4821
Sn 2.5481 6.4291 1.4062
```

***

No. 17
The following is a DFT calculation (PBE) of a relaxed CeErNb crystal.

Results
- E (eV/atom) = -6.6162
- DFT formation energy (meV per atom) = 239.3
- N(E_F) (states/eV/atom) = 1.8197
- crystal system = tetragonal
- V (Å³ per cell) = 159.3

Structure (extended XYZ):
```
6
Lattice="3.4035 0.0000 0.0000 0.0000 3.4035 0.0000 -1.7017 -1.7017 13.7556" Properties=species:S:1:pos:R:3 pbc="T T T"
Nb 0.0000 0.0000 7.6392
Nb 1.7017 1.7017 6.1164
Ce 0.0000 0.0000 4.1576
Ce 1.7017 1.7017 9.5980
Er 1.7017 1.7017 1.7132
Er 0.0000 0.0000 12.0425
```

***

No. 18
The following is a DFT calculation (PBE) of a relaxed ScNbCu4 crystal.

Results
- E (eV/atom) = -5.4667
- DFT formation energy (meV per atom) = -2.4
- N(E_F) (states/eV/atom) = 0.7351
- crystal system = cubic
- V (Å³ per cell) = 87.7

Structure (extended XYZ):
```
6
Lattice="4.9875 0.0000 0.0000 2.4938 4.3193 0.0000 2.4938 1.4398 4.0723" Properties=species:S:1:pos:R:3 pbc="T T T"
Sc 0.0000 0.0000 0.0000
Nb 2.4938 1.4398 1.0181
Cu 4.9875 2.8796 0.5116
Cu 4.9875 1.4422 2.5443
Cu 6.2323 3.5982 2.5443
Cu 3.7427 3.5982 2.5443
```

***

No. 19
The following is a DFT calculation (PBE) of a relaxed MgSBrO4 crystal.

Results
- E (eV/atom) = -5.4018
- crystal system = monoclinic
- V (Å³ per cell) = 195.4
- energy relative to the elements, uncorrected (meV per atom) = -1512

Structure (extended XYZ):
```
14
Lattice="6.1635 0.7145 -0.4465 2.7158 5.5789 -0.4465 1.3265 0.9402 5.8902" Properties=species:S:1:pos:R:3 pbc="T T T"
Mg 3.7941 2.6892 4.5759
Mg 6.4117 4.5444 0.4213
S 6.6288 4.6983 3.7922
S 3.5769 2.5352 1.2050
Br 0.7358 0.5215 1.8047
Br 9.4700 6.7120 3.1924
O 3.3318 2.3615 2.6430
O 6.8739 4.8721 2.3542
O 2.3548 3.1167 0.5180
O 4.7536 3.3692 0.9653
O 6.4850 6.0441 4.4792
O 3.7208 1.1895 0.5180
O 5.4522 3.8644 4.0319
O 7.8509 4.1168 4.4792
```

***

No. 20
The following is a DFT calculation (PBE) of a relaxed Tb2Pm3NdTm6 crystal.

Results
- E (eV/atom) = -4.5743
- DFT formation energy (meV per atom) = 18.1
- N(E_F) (states/eV/atom) = 1.1525
- crystal system = monoclinic
- V (Å³ per cell) = 379.7

Structure (extended XYZ):
```
12
Lattice="-4.7132 2.4971 -3.1044 4.9755 -2.0155 -3.0446 -4.9220 -10.5541 1.0212" Properties=species:S:1:pos:R:3 pbc="T T T"
Tb 1.7465 -0.5115 -3.0646
Tb -1.4842 0.9932 -3.0845
Pm 0.8991 -6.5402 -2.5440
Pm -5.5589 -3.5323 -2.5838
Pm -2.3299 -5.0363 -2.5639
Nd 0.0000 0.0000 0.0000
Tm -5.1165 -6.8125 -3.8533
Tm -1.0287 -2.2663 -4.3552
Tm 0.4567 -3.2600 -1.2746
Tm -1.8834 -8.3183 -3.8333
Tm -3.6311 -7.8062 -0.7727
Tm -2.7763 -1.7542 -1.2945
```